Record 1
Here is CdSe2I2 after structural relaxation from the Alexandria database. Energies are from GGA-PBE.

- calculated volume (Å³ per cell) = 345
- ΔE_f (raw) (eV per atom) = 0.006
- total energy (eV per atom) = -2.19
- N(E_F) (states/eV/f.u.) = 1.00
- magnetic moment (μB/cell) = 0.0

a b c (Å): 8.0041 8.0041 5.3898
angles (deg): 90.00 90.00 90.00
Fractional coordinates of all 10 atoms:
Se1 0.2377 0.7377 0.0000
Se2 0.7623 0.2623 0.0000
Se3 0.7377 0.7623 0.0000
Se4 0.2623 0.2377 0.0000
I1 0.6726 0.8274 0.5000
I2 0.8274 0.3274 0.5000
I3 0.1726 0.6726 0.5000
I4 0.3274 0.1726 0.5000
Cd1 0.5000 0.5000 0.0000
Cd2 0.0000 0.0000 0.0000


Record 2
Here is Cd3SeI3 after structural relaxation from the Alexandria database. Energies are from GGA-PBE.

- calculated volume (Å³ per cell) = 546
- ΔE_f (raw) (eV per atom) = -0.370
- total energy (eV per atom) = -1.92
- N(E_F) (states/eV/f.u.) = 1.49
- magnetic moment (μB/cell) = 0.0

a b c (Å): 6.6826 9.2897 10.8090
angles (deg): 125.59 90.00 90.00
Fractional coordinates of all 14 atoms:
Cd1 0.7500 0.2003 0.3615
Cd2 0.7500 0.1948 0.8344
Cd3 0.2500 0.3807 0.1888
Cd4 0.2500 0.8052 0.1656
Cd5 0.2500 0.7997 0.6385
Cd6 0.7500 0.6193 0.8112
I1 0.7500 0.3044 0.1507
I2 0.2500 0.6956 0.8493
I3 0.2500 0.2116 0.3432
I4 0.2500 0.2078 0.8653
I5 0.7500 0.7884 0.6568
I6 0.7500 0.7922 0.1347
Se1 0.2500 0.7204 0.3604
Se2 0.7500 0.2796 0.6396